Entry 1:
PmSm7Ho12 | GGA-PBE | optimized geometry

Cell: 12.8493 12.8493 13.6895 Å, 90.00 90.00 120.00°
Space group R-3 (No. 148, hexagonal axes)
Symmetry-distinct sites (fractional):
Pm: 0.0000 0.0000 0.0000 (multiplicity 3)
Sm: 0.0000 0.0000 0.5000 (multiplicity 3)
Sm: 0.0679 0.2019 0.8471 (multiplicity 18)
Ho: 0.0025 0.5670 0.2490 (multiplicity 18)
Ho: 0.0677 0.8666 0.3484 (multiplicity 18)

Output
calculated formation energy = 6.64 kcal/mol of atoms
magnetic moment = 0.00 μB per formula unit
E = -4.35 eV/atom
energy relative to the lowest polymorph listed for this composition = 0.0 kJ/mol of formula units

Entry 2:
Pm3Sm2Ho3 | GGA-PBE | optimized geometry

Cell: 5.0813 5.0879 20.3468 Å, 90.00 90.00 90.00°
Space group Immm (No. 71)
Symmetry-distinct sites (fractional):
Pm: 0.0000 0.0000 0.0000 (multiplicity 2)
Pm: 0.0000 0.5000 0.1239 (multiplicity 4)
Sm: 0.0000 0.0000 0.2496 (multiplicity 4)
Ho: 0.0000 0.0000 0.5000 (multiplicity 2)
Ho: 0.0000 0.5000 0.3752 (multiplicity 4)

Output
calculated formation energy = 0.41 kcal/mol of atoms
magnetic moment = 0.00 μB per formula unit
E = -4.66 eV/atom
energy relative to the lowest polymorph listed for this composition = 0.0 kJ/mol of formula units